VASP calculation (PBE-GGA) on crystalline DyGa2Ni8 at its relaxed geometry.

Cell and atoms, written as CIF:
```
data_DyGa2Ni8
_cell_length_a 5.8358
_cell_length_b 5.8358
_cell_length_c 4.8545
_cell_angle_alpha 90.00
_cell_angle_beta 90.00
_cell_angle_gamma 90.00
_symmetry_space_group_name_H-M 'P 4/m m m'
_symmetry_Int_Tables_number 123
_symmetry_space_group_name_Hall '-P 4 2'
loop_
_atom_site_label
_atom_site_fract_x
_atom_site_fract_y
_atom_site_fract_z
Dy1 0.0000 0.0000 0.0000
Ga1 0.0000 0.5000 0.5000
Ni1 0.2986 0.2986 0.2430
```

DOS at the Fermi energy = 1.58 states/eV/atom
Raw total energy = -55.1 eV/cell
V = 165 Å³/cell

---

VASP calculation (PBE-GGA) on crystalline Y2VGaP at its relaxed geometry.

Cell and atoms, written as CIF:
```
data_Y2VGaP
_cell_length_a 5.0987
_cell_length_b 5.0987
_cell_length_c 4.6814
_cell_angle_alpha 90.00
_cell_angle_beta 90.00
_cell_angle_gamma 90.00
_symmetry_space_group_name_H-M 'P 4/m m m'
_symmetry_Int_Tables_number 123
_symmetry_space_group_name_Hall '-P 4 2'
loop_
_atom_site_label
_atom_site_fract_x
_atom_site_fract_y
_atom_site_fract_z
Y1 0.0000 0.5000 0.0000
V1 0.0000 0.0000 0.0000
Ga1 0.0000 0.0000 0.5000
P1 0.5000 0.5000 0.5000
```

DOS at the Fermi energy = 1.13 states/eV/atom
Raw total energy = -28.5 eV/cell
V = 122 Å³/cell

---

VASP calculation (PBE-GGA) on crystalline Tl7Cd2Bi2 at its relaxed geometry.

Cell and atoms, written as CIF:
```
data_Tl7Cd2Bi2
_cell_length_a 5.6768
_cell_length_b 13.3493
_cell_length_c 9.0925
_cell_angle_alpha 90.00
_cell_angle_beta 90.00
_cell_angle_gamma 90.00
_symmetry_space_group_name_H-M 'I m m 2'
_symmetry_Int_Tables_number 44
loop_
_symmetry_equiv_pos_as_xyz
'x,y,z'
'-x,-y,z'
'-x,y,z'
'x,-y,z'
'x+1/2,y+1/2,z+1/2'
'-x+1/2,-y+1/2,z+1/2'
'-x+1/2,y+1/2,z+1/2'
'x+1/2,-y+1/2,z+1/2'
loop_
_atom_site_label
_atom_site_fract_x
_atom_site_fract_y
_atom_site_fract_z
Tl1 0.0000 0.0000 0.0000
Tl2 0.0000 0.1320 0.3247
Tl3 0.0000 0.3591 0.5017
Tl4 0.0000 0.3612 0.1026
Cd1 0.0000 0.0000 0.6318
Cd2 0.0000 0.5000 0.7970
Bi1 0.0000 0.2116 0.8004
```

DOS at the Fermi energy = 0.45 states/eV/atom
Raw total energy = -51.8 eV/cell
V = 689 Å³/cell

---

VASP calculation (PBE-GGA) on crystalline AcGdCd4 at its relaxed geometry.

Cell and atoms, written as CIF:
```
data_AcGdCd4
_cell_length_a 8.6124
_cell_length_b 8.6124
_cell_length_c 8.6124
_cell_angle_alpha 90.00
_cell_angle_beta 90.00
_cell_angle_gamma 90.00
_symmetry_space_group_name_H-M 'F -4 3 m'
_symmetry_Int_Tables_number 216
_symmetry_space_group_name_Hall 'F -4 2 3'
loop_
_atom_site_label
_atom_site_fract_x
_atom_site_fract_y
_atom_site_fract_z
Ac1 0.0000 0.0000 0.0000
Gd1 0.2500 0.2500 0.2500
Cd1 0.1245 0.1245 0.6245
```

DOS at the Fermi energy = 0.73 states/eV/atom
Raw total energy = -94.2 eV/cell
V = 639 Å³/cell

---

VASP calculation (PBE-GGA) on crystalline CaAlCd3 at its relaxed geometry.

Cell and atoms, written as CIF:
```
data_CaAlCd3
_cell_length_a 5.2063
_cell_length_b 5.2063
_cell_length_c 5.2063
_cell_angle_alpha 90.00
_cell_angle_beta 90.00
_cell_angle_gamma 90.00
_symmetry_space_group_name_H-M 'P m -3 m'
_symmetry_Int_Tables_number 221
_symmetry_space_group_name_Hall '-P 4 2 3'
loop_
_atom_site_label
_atom_site_fract_x
_atom_site_fract_y
_atom_site_fract_z
Ca1 0.0000 0.0000 0.0000
Al1 0.5000 0.5000 0.5000
Cd1 0.0000 0.5000 0.5000
```

DOS at the Fermi energy = 0.56 states/eV/atom
Raw total energy = -8.0 eV/cell
V = 141 Å³/cell

---

VASP calculation (PBE-GGA) on crystalline YBTeRh2 at its relaxed geometry.

Cell and atoms, written as CIF:
```
data_YBTeRh2
_cell_length_a 4.8955
_cell_length_b 4.8955
_cell_length_c 4.4038
_cell_angle_alpha 90.00
_cell_angle_beta 90.00
_cell_angle_gamma 90.00
_symmetry_space_group_name_H-M 'P 4/m m m'
_symmetry_Int_Tables_number 123
_symmetry_space_group_name_Hall '-P 4 2'
loop_
_atom_site_label
_atom_site_fract_x
_atom_site_fract_y
_atom_site_fract_z
Y1 0.0000 0.0000 0.0000
B1 0.5000 0.5000 0.0000
Te1 0.5000 0.5000 0.5000
Rh1 0.0000 0.5000 0.5000
```

DOS at the Fermi energy = 0.34 states/eV/atom
Raw total energy = -28.0 eV/cell
V = 106 Å³/cell

---

VASP calculation (PBE-GGA) on crystalline Ho2MgCdHg4 at its relaxed geometry.

Cell and atoms, written as CIF:
```
data_Ho2MgCdHg4
_cell_length_a 5.0663
_cell_length_b 5.0663
_cell_length_c 24.8510
_cell_angle_alpha 90.00
_cell_angle_beta 90.00
_cell_angle_gamma 120.00
_symmetry_space_group_name_H-M 'R -3 m'
_symmetry_Int_Tables_number 166
_symmetry_space_group_name_Hall '-R 3 2"'
loop_
_atom_site_label
_atom_site_fract_x
_atom_site_fract_y
_atom_site_fract_z
Ho1 0.0000 0.0000 0.2477
Mg1 0.0000 0.0000 0.0000
Cd1 0.0000 0.0000 0.5000
Hg1 0.0000 0.0000 0.1222
Hg2 0.0000 0.0000 0.3717
```

DOS at the Fermi energy = 0.35 states/eV/atom
Raw total energy = -48.4 eV/cell
V = 552 Å³/cell

---

VASP calculation (PBE-GGA) on crystalline LiAlVBr2 at its relaxed geometry.

Cell and atoms, written as CIF:
```
data_LiAlVBr2
_cell_length_a 5.4274
_cell_length_b 5.4274
_cell_length_c 5.2253
_cell_angle_alpha 90.00
_cell_angle_beta 90.00
_cell_angle_gamma 90.00
_symmetry_space_group_name_H-M 'P 4/m m m'
_symmetry_Int_Tables_number 123
_symmetry_space_group_name_Hall '-P 4 2'
loop_
_atom_site_label
_atom_site_fract_x
_atom_site_fract_y
_atom_site_fract_z
Li1 0.0000 0.0000 0.0000
Al1 0.0000 0.0000 0.5000
V1 0.5000 0.5000 0.0000
Br1 0.0000 0.5000 0.5000
```

DOS at the Fermi energy = 1.61 states/eV/atom
Raw total energy = -15.2 eV/cell
V = 154 Å³/cell

---

VASP calculation (PBE-GGA) on crystalline Ac12Sm6Dy at its relaxed geometry.

Cell and atoms, written as CIF:
```
data_Ac12Sm6Dy
_cell_length_a 15.8125
_cell_length_b 15.8125
_cell_length_c 11.2194
_cell_angle_alpha 90.00
_cell_angle_beta 90.00
_cell_angle_gamma 120.00
_symmetry_space_group_name_H-M 'R -3'
_symmetry_Int_Tables_number 148
_symmetry_space_group_name_Hall '-R 3'
loop_
_atom_site_label
_atom_site_fract_x
_atom_site_fract_y
_atom_site_fract_z
Ac1 0.0493 0.2455 0.0746
Ac2 0.0650 0.2291 0.4192
Sm1 0.0515 0.2143 0.7570
Dy1 0.0000 0.0000 0.0000
```

DOS at the Fermi energy = 1.50 states/eV/atom
Raw total energy = -232.2 eV/cell
V = 2429 Å³/cell

---

VASP calculation (PBE-GGA) on crystalline PmEuTm2 at its relaxed geometry.

Cell and atoms, written as CIF:
```
data_PmEuTm2
_cell_length_a 3.6288
_cell_length_b 3.6288
_cell_length_c 10.1742
_cell_angle_alpha 90.00
_cell_angle_beta 90.00
_cell_angle_gamma 90.00
_symmetry_space_group_name_H-M 'P 4/m m m'
_symmetry_Int_Tables_number 123
_symmetry_space_group_name_Hall '-P 4 2'
loop_
_atom_site_label
_atom_site_fract_x
_atom_site_fract_y
_atom_site_fract_z
Pm1 0.0000 0.0000 0.0000
Eu1 0.0000 0.0000 0.5000
Tm1 0.5000 0.5000 0.2368
```

DOS at the Fermi energy = 1.43 states/eV/atom
Raw total energy = -23.7 eV/cell
V = 134 Å³/cell

---

VASP calculation (PBE-GGA) on crystalline Pr2NdAu2 at its relaxed geometry.

Cell and atoms, written as CIF:
```
data_Pr2NdAu2
_cell_length_a 8.4722
_cell_length_b 8.4722
_cell_length_c 3.9556
_cell_angle_alpha 90.00
_cell_angle_beta 90.00
_cell_angle_gamma 90.00
_symmetry_space_group_name_H-M 'P 4/m b m'
_symmetry_Int_Tables_number 127
_symmetry_space_group_name_Hall '-P 4 2ab'
loop_
_atom_site_label
_atom_site_fract_x
_atom_site_fract_y
_atom_site_fract_z
Pr1 0.1651 0.3349 0.0000
Nd1 0.0000 0.0000 0.5000
Au1 0.1283 0.6283 0.5000
```

DOS at the Fermi energy = 1.09 states/eV/atom
Raw total energy = -48.0 eV/cell
V = 284 Å³/cell

---

VASP calculation (PBE-GGA) on crystalline Y2ErBi at its relaxed geometry.

Cell and atoms, written as CIF:
```
data_Y2ErBi
_cell_length_a 4.1287
_cell_length_b 12.4790
_cell_length_c 9.6536
_cell_angle_alpha 90.00
_cell_angle_beta 90.00
_cell_angle_gamma 90.00
_symmetry_space_group_name_H-M 'C m c m'
_symmetry_Int_Tables_number 63
_symmetry_space_group_name_Hall '-C 2c 2'
loop_
_atom_site_label
_atom_site_fract_x
_atom_site_fract_y
_atom_site_fract_z
Y1 0.0000 0.1328 0.0459
Er1 0.0000 0.4432 0.2500
Bi1 0.0000 0.2570 0.7500
```

DOS at the Fermi energy = 1.44 states/eV/atom
Raw total energy = -92.0 eV/cell
V = 497 Å³/cell

---

VASP calculation (PBE-GGA) on crystalline Pm3Tl3InS8 at its relaxed geometry.

Cell and atoms, written as CIF:
```
data_Pm3Tl3InS8
_cell_length_a 8.1758
_cell_length_b 8.1758
_cell_length_c 22.0080
_cell_angle_alpha 90.00
_cell_angle_beta 90.00
_cell_angle_gamma 120.00
_symmetry_space_group_name_H-M 'R -3 m'
_symmetry_Int_Tables_number 166
_symmetry_space_group_name_Hall '-R 3 2"'
loop_
_atom_site_label
_atom_site_fract_x
_atom_site_fract_y
_atom_site_fract_z
Pm1 0.0000 0.5000 0.0000
Tl1 0.0000 0.5000 0.5000
In1 0.0000 0.0000 0.0000
S1 0.0000 0.0000 0.2638
S2 0.0150 0.5075 0.7340
```

DOS at the Fermi energy = 0.39 states/eV/atom
Raw total energy = -224.8 eV/cell
V = 1274 Å³/cell

---

VASP calculation (PBE-GGA) on crystalline SiAg2Sb at its relaxed geometry.

Cell and atoms, written as CIF:
```
data_SiAg2Sb
_cell_length_a 7.7076
_cell_length_b 7.7076
_cell_length_c 5.6573
_cell_angle_alpha 90.00
_cell_angle_beta 90.00
_cell_angle_gamma 90.00
_symmetry_space_group_name_H-M 'I -4 2 d'
_symmetry_Int_Tables_number 122
_symmetry_space_group_name_Hall 'I -4 2bw'
loop_
_atom_site_label
_atom_site_fract_x
_atom_site_fract_y
_atom_site_fract_z
Si1 0.0000 0.0000 0.0000
Ag1 0.2163 0.2500 0.1250
Sb1 0.0000 0.0000 0.5000
```

DOS at the Fermi energy = 0.52 states/eV/atom
Raw total energy = -54.9 eV/cell
V = 336 Å³/cell

---

VASP calculation (PBE-GGA) on crystalline SrGe2Te2 at its relaxed geometry.

Cell and atoms, written as CIF:
```
data_SrGe2Te2
_cell_length_a 5.8164
_cell_length_b 5.8164
_cell_length_c 8.8664
_cell_angle_alpha 90.00
_cell_angle_beta 90.00
_cell_angle_gamma 90.00
_symmetry_space_group_name_H-M 'I 4/m m m'
_symmetry_Int_Tables_number 139
_symmetry_space_group_name_Hall '-I 4 2'
loop_
_atom_site_label
_atom_site_fract_x
_atom_site_fract_y
_atom_site_fract_z
Sr1 0.0000 0.0000 0.0000
Ge1 0.0000 0.0000 0.3494
Te1 0.0000 0.5000 0.2500
```

DOS at the Fermi energy = 0.02 states/eV/atom
Raw total energy = -39.0 eV/cell
V = 300 Å³/cell

---

VASP calculation (PBE-GGA) on crystalline Ac5Al4 at its relaxed geometry.

Cell and atoms, written as CIF:
```
data_Ac5Al4
_cell_length_a 12.0636
_cell_length_b 4.9927
_cell_length_c 11.0597
_cell_angle_alpha 90.00
_cell_angle_beta 113.76
_cell_angle_gamma 90.00
_symmetry_space_group_name_H-M 'C 1 2/m 1'
_symmetry_Int_Tables_number 12
loop_
_symmetry_equiv_pos_as_xyz
'x,y,z'
'-x,-y,-z'
'-x,y,-z'
'x,-y,z'
'x+1/2,y+1/2,z'
'-x+1/2,-y+1/2,-z'
'-x+1/2,y+1/2,-z'
'x+1/2,-y+1/2,z'
loop_
_atom_site_label
_atom_site_fract_x
_atom_site_fract_y
_atom_site_fract_z
Ac1 0.0000 0.0000 0.0000
Ac2 0.1122 0.0000 0.4006
Ac3 0.2384 0.0000 0.8287
Al1 0.0407 0.5000 0.8222
Al2 0.1013 0.5000 0.6134
```

DOS at the Fermi energy = 1.06 states/eV/atom
Raw total energy = -75.3 eV/cell
V = 610 Å³/cell

---

VASP calculation (PBE-GGA) on crystalline CaTlTe2O8 at its relaxed geometry.

Cell and atoms, written as CIF:
```
data_CaTlTe2O8
_cell_length_a 7.5522
_cell_length_b 7.5522
_cell_length_c 6.9066
_cell_angle_alpha 90.00
_cell_angle_beta 90.00
_cell_angle_gamma 90.00
_symmetry_space_group_name_H-M 'I -4 m 2'
_symmetry_Int_Tables_number 119
_symmetry_space_group_name_Hall 'I -4 -2'
loop_
_atom_site_label
_atom_site_fract_x
_atom_site_fract_y
_atom_site_fract_z
Ca1 0.0000 0.0000 0.0000
Tl1 0.0000 0.5000 0.2500
Te1 0.0000 0.0000 0.5000
Te2 0.0000 0.5000 0.7500
O1 0.0000 0.1849 0.3200
O2 0.0000 0.3115 0.9201
```

DOS at the Fermi energy = 0.22 states/eV/atom
Raw total energy = -128.3 eV/cell
V = 394 Å³/cell

---

VASP calculation (PBE-GGA) on crystalline Rb2MgWBr6 at its relaxed geometry.

Cell and atoms, written as CIF:
```
data_Rb2MgWBr6
_cell_length_a 10.9367
_cell_length_b 10.9367
_cell_length_c 10.9367
_cell_angle_alpha 90.00
_cell_angle_beta 90.00
_cell_angle_gamma 90.00
_symmetry_space_group_name_H-M 'F m -3 m'
_symmetry_Int_Tables_number 225
_symmetry_space_group_name_Hall '-F 4 2 3'
loop_
_atom_site_label
_atom_site_fract_x
_atom_site_fract_y
_atom_site_fract_z
Rb1 0.2500 0.2500 0.2500
Mg1 0.0000 0.0000 0.0000
W1 0.0000 0.0000 0.5000
Br1 0.0000 0.0000 0.2557
```

DOS at the Fermi energy = 0.07 states/eV/atom
Raw total energy = -143.6 eV/cell
V = 1308 Å³/cell

---

VASP calculation (PBE-GGA) on crystalline Sr2LiCaRh at its relaxed geometry.

Cell and atoms, written as CIF:
```
data_Sr2LiCaRh
_cell_length_a 5.8154
_cell_length_b 5.8154
_cell_length_c 5.2051
_cell_angle_alpha 90.00
_cell_angle_beta 90.00
_cell_angle_gamma 90.00
_symmetry_space_group_name_H-M 'P 4/m m m'
_symmetry_Int_Tables_number 123
_symmetry_space_group_name_Hall '-P 4 2'
loop_
_atom_site_label
_atom_site_fract_x
_atom_site_fract_y
_atom_site_fract_z
Sr1 0.0000 0.5000 0.0000
Li1 0.0000 0.0000 0.5000
Ca1 0.5000 0.5000 0.5000
Rh1 0.0000 0.0000 0.0000
```

DOS at the Fermi energy = 0.65 states/eV/atom
Raw total energy = -14.5 eV/cell
V = 176 Å³/cell

---

VASP calculation (PBE-GGA) on crystalline Zr5Au at its relaxed geometry.

Cell and atoms, written as CIF:
```
data_Zr5Au
_cell_length_a 3.3155
_cell_length_b 15.1949
_cell_length_c 5.1926
_cell_angle_alpha 90.00
_cell_angle_beta 90.00
_cell_angle_gamma 90.00
_symmetry_space_group_name_H-M 'C m m m'
_symmetry_Int_Tables_number 65
_symmetry_space_group_name_Hall '-C 2 2'
loop_
_atom_site_label
_atom_site_fract_x
_atom_site_fract_y
_atom_site_fract_z
Zr1 0.0000 0.0000 0.0000
Zr2 0.0000 0.1624 0.5000
Zr3 0.0000 0.3328 0.0000
Au1 0.0000 0.5000 0.5000
```

DOS at the Fermi energy = 1.61 states/eV/atom
Raw total energy = -93.5 eV/cell
V = 262 Å³/cell